[1]
BiPd8Pb2 | GGA-PBE | relaxed

CIF file:
```
data_BiPd8Pb2
_chemical_formula_sum 'Bi2 Pd16 Pb4'
_cell_length_a 4.0468
_cell_length_b 8.1351
_cell_length_c 12.3749
_cell_angle_alpha 90.00
_cell_angle_beta 90.00
_cell_angle_gamma 90.00
_space_group_name_H-M_alt 'I m m m'
_space_group_IT_number 71
_space_group_name_Hall '-I 2 2'
loop_
_atom_site_label
_atom_site_fract_x
_atom_site_fract_y
_atom_site_fract_z
_atom_site_occupancy
Bi1 0.0000 0.0000 0.0000 1
Pd1 0.0000 0.2488 0.5000 1
Pd2 0.0000 0.2526 0.1674 1
Pd3 0.0000 0.5000 0.3287 1
Pb1 0.0000 0.0000 0.3445 1
```

Output
Uncorrected energy (eV per atom): -5.033
Relative energy among the computed polymorphs (meV per atom): 0.0
Total magnetic moment (μB/atom): 0.0000
ΔH_f (0 K) (meV per atom): -229

=====

[2]
GaCu3Ni3 | GGA-PBE | relaxed

CIF file:
```
data_GaCu3Ni3
_chemical_formula_sum 'Ga4 Cu12 Ni12'
_cell_length_a 8.0322
_cell_length_b 8.1316
_cell_length_c 5.3300
_cell_angle_alpha 90.00
_cell_angle_beta 90.00
_cell_angle_gamma 90.00
_space_group_name_H-M_alt 'C m m m'
_space_group_IT_number 65
_space_group_name_Hall '-C 2 2'
loop_
_atom_site_label
_atom_site_fract_x
_atom_site_fract_y
_atom_site_fract_z
_atom_site_occupancy
Ga1 0.0000 0.2392 0.0000 1
Cu1 0.0000 0.2281 0.5000 1
Cu2 0.2269 0.0000 0.0000 1
Cu3 0.2281 0.0000 0.5000 1
Ni1 0.0000 0.5000 0.2555 1
Ni2 0.2500 0.2500 0.2496 1
```

Output
Uncorrected energy (eV per atom): -4.692
Total magnetic moment (μB/atom): 0.0000
ΔH_f (0 K) (meV per atom): -27

=====

[3]
CeNpSO2 | GGA-PBE | relaxed

CIF file:
```
data_CeNpSO2
_chemical_formula_sum 'Ce2 Np2 S2 O4'
_cell_length_a 3.8289
_cell_length_b 3.8289
_cell_length_c 11.9191
_cell_angle_alpha 90.00
_cell_angle_beta 90.00
_cell_angle_gamma 90.00
_space_group_name_H-M_alt 'I 4 m m'
_space_group_IT_number 107
_space_group_name_Hall 'I 4 -2'
loop_
_atom_site_label
_atom_site_fract_x
_atom_site_fract_y
_atom_site_fract_z
_atom_site_occupancy
Ce1 0.0000 0.0000 0.0000 1
Np1 0.0000 0.0000 0.2839 1
S1 0.0000 0.0000 0.6472 1
O1 0.0000 0.5000 0.3916 1
```

Output
Formation energy (no corrections) (eV per atom): -2.63
Uncorrected energy (eV per atom): -9.211
Total magnetic moment (μB/atom): 1.0001

=====

[4]
TaFe4Mo | GGA-PBE | relaxed

CIF file:
```
data_TaFe4Mo
_chemical_formula_sum 'Ta4 Fe16 Mo4'
_cell_length_a 6.7333
_cell_length_b 6.7333
_cell_length_c 6.7333
_cell_angle_alpha 90.00
_cell_angle_beta 90.00
_cell_angle_gamma 90.00
_space_group_name_H-M_alt 'F -4 3 m'
_space_group_IT_number 216
_space_group_name_Hall 'F -4 2 3'
loop_
_atom_site_label
_atom_site_fract_x
_atom_site_fract_y
_atom_site_fract_z
_atom_site_occupancy
Ta1 0.0000 0.0000 0.0000 1
Fe1 0.1250 0.1250 0.3750 1
Mo1 0.2500 0.2500 0.7500 1
```

Output
Uncorrected energy (eV per atom): -9.509
Total magnetic moment (μB/atom): 0.8437
ΔH_f (0 K) (meV per atom): -86

=====

[5]
Dy2Be15Cu2 | GGA-PBE | relaxed

CIF file:
```
data_Dy2Be15Cu2
_chemical_formula_sum 'Dy6 Be45 Cu6'
_cell_length_a 7.8235
_cell_length_b 7.8235
_cell_length_c 11.4580
_cell_angle_alpha 90.00
_cell_angle_beta 90.00
_cell_angle_gamma 120.00
_space_group_name_H-M_alt 'R -3 m'
_space_group_IT_number 166
_space_group_name_Hall '-R 3 2"'
loop_
_atom_site_label
_atom_site_fract_x
_atom_site_fract_y
_atom_site_fract_z
_atom_site_occupancy
Dy1 0.0000 0.0000 0.1564 1
Be1 0.0000 0.2785 0.5000 1
Be2 0.0000 0.5000 0.0000 1
Be3 0.0054 0.5027 0.3384 1
Cu1 0.0000 0.0000 0.3962 1
```

Output
Uncorrected energy (eV per atom): -3.998
Total magnetic moment (μB/atom): 0.0000
ΔH_f (0 K) (meV per atom): -140

=====

[6]
SmGa2Ni | GGA-PBE | relaxed

CIF file:
```
data_SmGa2Ni
_chemical_formula_sum 'Sm3 Ga6 Ni3'
_cell_length_a 3.2380
_cell_length_b 3.2380
_cell_length_c 27.8752
_cell_angle_alpha 90.00
_cell_angle_beta 90.00
_cell_angle_gamma 120.00
_space_group_name_H-M_alt 'R -3 m'
_space_group_IT_number 166
_space_group_name_Hall '-R 3 2"'
loop_
_atom_site_label
_atom_site_fract_x
_atom_site_fract_y
_atom_site_fract_z
_atom_site_occupancy
Sm1 0.0000 0.0000 0.0000 1
Ga1 0.0000 0.0000 0.1084 1
Ni1 0.0000 0.0000 0.5000 1
```

Output
Uncorrected energy (eV per atom): -4.005
Total magnetic moment (μB/atom): 0.0000
ΔH_f (0 K) (meV per atom): 134

=====

[7]
BaRe2 | GGA-PBE | relaxed

CIF file:
```
data_BaRe2
_chemical_formula_sum 'Ba4 Re8'
_cell_length_a 3.7461
_cell_length_b 14.6423
_cell_length_c 5.8284
_cell_angle_alpha 90.00
_cell_angle_beta 90.00
_cell_angle_gamma 90.00
_space_group_name_H-M_alt 'C m c m'
_space_group_IT_number 63
_space_group_name_Hall '-C 2c 2'
loop_
_atom_site_label
_atom_site_fract_x
_atom_site_fract_y
_atom_site_fract_z
_atom_site_occupancy
Ba1 0.0000 0.1449 0.2500 1
Re1 0.0000 0.1409 0.7500 1
Re2 0.0000 0.4574 0.2500 1
```

Output
Uncorrected energy (eV per atom): -7.714
Relative energy among the computed polymorphs (meV per atom): 557.8
Total magnetic moment (μB/atom): 0.0000
ΔH_f (0 K) (meV per atom): 1225

=====

[8]
TaTiS3 | GGA-PBE | relaxed

CIF file:
```
data_TaTiS3
_chemical_formula_sum 'Ta1 Ti1 S3'
_cell_length_a 4.6028
_cell_length_b 4.6028
_cell_length_c 4.6028
_cell_angle_alpha 90.00
_cell_angle_beta 90.00
_cell_angle_gamma 90.00
_space_group_name_H-M_alt 'P m -3 m'
_space_group_IT_number 221
_space_group_name_Hall '-P 4 2 3'
loop_
_atom_site_label
_atom_site_fract_x
_atom_site_fract_y
_atom_site_fract_z
_atom_site_occupancy
Ta1 0.0000 0.0000 0.0000 1
Ti1 0.5000 0.5000 0.5000 1
S1 0.0000 0.5000 0.5000 1
```

Output
Formation energy (no corrections) (eV per atom): 0.13
Uncorrected energy (eV per atom): -6.297
Relative energy among the computed polymorphs (meV per atom): 1338.6
Total magnetic moment (μB/atom): 0.5327